First-principles (GGA-PBE) data for a relaxed Ac2TlIn3Ag4 crystal, as listed in the Alexandria database.

Cell and atoms, written as CIF:
```
data_Ac2TlIn3Ag4
_chemical_formula_sum 'Ac2 Tl1 In3 Ag4'
_symmetry_space_group_name_H-M 'P 1'
_symmetry_Int_Tables_number 1
_symmetry_space_group_name_Hall 'P 1'
_cell_length_a 4.7724
_cell_length_b 4.7724
_cell_length_c 11.5714
_cell_angle_alpha 90.00
_cell_angle_beta 90.00
_cell_angle_gamma 90.00
loop_
_atom_site_label
_atom_site_type_symbol
_atom_site_fract_x
_atom_site_fract_y
_atom_site_fract_z
Ac1 Ac 0.0000 0.5000 0.2404
Ac2 Ac 0.5000 0.0000 0.7596
Tl1 Tl 0.0000 0.0000 0.5000
In1 In 0.0000 0.5000 0.8740
In2 In 0.5000 0.0000 0.1260
In3 In 0.5000 0.5000 0.5000
Ag1 Ag 0.0000 0.0000 0.0000
Ag2 Ag 0.0000 0.5000 0.6403
Ag3 Ag 0.5000 0.0000 0.3597
Ag4 Ag 0.5000 0.5000 0.0000
```

Computed properties:
Magnetization in Bohr magnetons per cell: 0.00
Space group: P-4m2 (115)
DFT formation energy in eV per atom: -0.274
V in A^3/atom: 26.35
Uncorrected energy in eV/atom: -3.29

***

First-principles (GGA-PBE) data for a relaxed AcTlInAg crystal, as listed in the Alexandria database.

Cell and atoms, written as CIF:
```
data_AcTlInAg
_chemical_formula_sum 'Ac1 Tl1 In1 Ag1'
_symmetry_space_group_name_H-M 'P 1'
_symmetry_Int_Tables_number 1
_symmetry_space_group_name_Hall 'P 1'
_cell_length_a 5.4128
_cell_length_b 5.4128
_cell_length_c 5.4128
_cell_angle_alpha 60.00
_cell_angle_beta 60.00
_cell_angle_gamma 60.00
loop_
_atom_site_label
_atom_site_type_symbol
_atom_site_fract_x
_atom_site_fract_y
_atom_site_fract_z
Ac1 Ac 0.0000 0.0000 0.0000
Tl1 Tl 0.7500 0.7500 0.7500
In1 In 0.5000 0.5000 0.5000
Ag1 Ag 0.2500 0.2500 0.2500
```

Computed properties:
Magnetization in Bohr magnetons per cell: 0.00
Space group: F-43m (216)
DFT formation energy in eV per atom: -0.260
V in A^3/atom: 28.03
Uncorrected energy in eV/atom: -3.28

***

First-principles (GGA-PBE) data for a relaxed Ac2TlIn4Ag3 crystal, as listed in the Alexandria database.

Cell and atoms, written as CIF:
```
data_Ac2TlIn4Ag3
_chemical_formula_sum 'Ac2 Tl1 In4 Ag3'
_symmetry_space_group_name_H-M 'P 1'
_symmetry_Int_Tables_number 1
_symmetry_space_group_name_Hall 'P 1'
_cell_length_a 4.7655
_cell_length_b 4.7655
_cell_length_c 11.8321
_cell_angle_alpha 90.00
_cell_angle_beta 90.00
_cell_angle_gamma 90.00
loop_
_atom_site_label
_atom_site_type_symbol
_atom_site_fract_x
_atom_site_fract_y
_atom_site_fract_z
Ac1 Ac 0.0000 0.5000 0.2470
Ac2 Ac 0.5000 0.0000 0.7530
Tl1 Tl 0.0000 0.0000 0.5000
In1 In 0.0000 0.0000 0.0000
In2 In 0.0000 0.5000 0.6424
In3 In 0.5000 0.0000 0.3576
In4 In 0.5000 0.5000 0.0000
Ag1 Ag 0.0000 0.5000 0.8702
Ag2 Ag 0.5000 0.0000 0.1298
Ag3 Ag 0.5000 0.5000 0.5000
```

Computed properties:
Magnetization in Bohr magnetons per cell: 0.00
Space group: P-4m2 (115)
DFT formation energy in eV per atom: -0.299
V in A^3/atom: 26.87
Uncorrected energy in eV/atom: -3.31

***

First-principles (GGA-PBE) data for a relaxed Ac4TlIn2Ag crystal, as listed in the Alexandria database.

Cell and atoms, written as CIF:
```
data_Ac4TlIn2Ag
_chemical_formula_sum 'Ac4 Tl1 In2 Ag1'
_symmetry_space_group_name_H-M 'P 1'
_symmetry_Int_Tables_number 1
_symmetry_space_group_name_Hall 'P 1'
_cell_length_a 10.0897
_cell_length_b 10.0897
_cell_length_c 10.0897
_cell_angle_alpha 33.06
_cell_angle_beta 33.06
_cell_angle_gamma 33.06
loop_
_atom_site_label
_atom_site_type_symbol
_atom_site_fract_x
_atom_site_fract_y
_atom_site_fract_z
Ac1 Ac 0.1215 0.1215 0.1215
Ac2 Ac 0.3708 0.3708 0.3708
Ac3 Ac 0.6292 0.6292 0.6292
Ac4 Ac 0.8785 0.8785 0.8785
Tl1 Tl 0.5000 0.5000 0.5000
In1 In 0.2487 0.2487 0.2487
In2 In 0.7513 0.7513 0.7513
Ag1 Ag 0.0000 0.0000 0.0000
```

Computed properties:
Magnetization in Bohr magnetons per cell: 0.00
Space group: R-3m (166)
DFT formation energy in eV per atom: -0.349
V in A^3/atom: 34.00
Uncorrected energy in eV/atom: -3.74

***

First-principles (GGA-PBE) data for a relaxed AcTmInAg crystal, as listed in the Alexandria database.

Cell and atoms, written as CIF:
```
data_AcTmInAg
_chemical_formula_sum 'Ac1 Tm1 In1 Ag1'
_symmetry_space_group_name_H-M 'P 1'
_symmetry_Int_Tables_number 1
_symmetry_space_group_name_Hall 'P 1'
_cell_length_a 3.7586
_cell_length_b 3.7586
_cell_length_c 8.0287
_cell_angle_alpha 90.00
_cell_angle_beta 90.00
_cell_angle_gamma 90.00
loop_
_atom_site_label
_atom_site_type_symbol
_atom_site_fract_x
_atom_site_fract_y
_atom_site_fract_z
Ac1 Ac 0.0000 0.0000 0.0000
Tm1 Tm 0.0000 0.0000 0.4750
In1 In 0.5000 0.5000 0.7095
Ag1 Ag 0.5000 0.5000 0.2877
```

Computed properties:
Distance to the lowest polymorph of the same formula in eV per atom: 0.000
Magnetization in Bohr magnetons per cell: 0.00
Space group: P4mm (99)
DFT formation energy in eV per atom: -0.356
V in A^3/atom: 28.36
Uncorrected energy in eV/atom: -3.90

***

First-principles (GGA-PBE) data for a relaxed Ac2TmIn4Ag3 crystal, as listed in the Alexandria database.

Cell and atoms, written as CIF:
```
data_Ac2TmIn4Ag3
_chemical_formula_sum 'Ac2 Tm1 In4 Ag3'
_symmetry_space_group_name_H-M 'P 1'
_symmetry_Int_Tables_number 1
_symmetry_space_group_name_Hall 'P 1'
_cell_length_a 4.6304
_cell_length_b 4.6304
_cell_length_c 12.7605
_cell_angle_alpha 90.00
_cell_angle_beta 90.00
_cell_angle_gamma 90.00
loop_
_atom_site_label
_atom_site_type_symbol
_atom_site_fract_x
_atom_site_fract_y
_atom_site_fract_z
Ac1 Ac 0.0000 0.5000 0.2365
Ac2 Ac 0.5000 0.0000 0.7635
Tm1 Tm 0.0000 0.0000 0.5000
In1 In 0.0000 0.0000 0.0000
In2 In 0.0000 0.5000 0.6529
In3 In 0.5000 0.0000 0.3471
In4 In 0.5000 0.5000 0.0000
Ag1 Ag 0.0000 0.5000 0.8678
Ag2 Ag 0.5000 0.0000 0.1322
Ag3 Ag 0.5000 0.5000 0.5000
```

Computed properties:
Magnetization in Bohr magnetons per cell: 0.00
Space group: P-4m2 (115)
DFT formation energy in eV per atom: -0.327
V in A^3/atom: 27.36
Uncorrected energy in eV/atom: -3.55

***

First-principles (GGA-PBE) data for a relaxed AcTmInAg crystal, as listed in the Alexandria database.

Cell and atoms, written as CIF:
```
data_AcTmInAg
_chemical_formula_sum 'Ac1 Tm1 In1 Ag1'
_symmetry_space_group_name_H-M 'P 1'
_symmetry_Int_Tables_number 1
_symmetry_space_group_name_Hall 'P 1'
_cell_length_a 5.4833
_cell_length_b 5.4833
_cell_length_c 5.4833
_cell_angle_alpha 60.00
_cell_angle_beta 60.00
_cell_angle_gamma 60.00
loop_
_atom_site_label
_atom_site_type_symbol
_atom_site_fract_x
_atom_site_fract_y
_atom_site_fract_z
Ac1 Ac 0.0000 0.0000 0.0000
Tm1 Tm 0.5000 0.5000 0.5000
In1 In 0.7500 0.7500 0.7500
Ag1 Ag 0.2500 0.2500 0.2500
```

Computed properties:
Distance to the lowest polymorph of the same formula in eV per atom: 0.051
Magnetization in Bohr magnetons per cell: 0.00
Space group: F-43m (216)
DFT formation energy in eV per atom: -0.305
V in A^3/atom: 29.14
Uncorrected energy in eV/atom: -3.85

***

First-principles (GGA-PBE) data for a relaxed Ac2YIn4Ag3 crystal, as listed in the Alexandria database.

Cell and atoms, written as CIF:
```
data_Ac2YIn4Ag3
_chemical_formula_sum 'Ac2 Y1 In4 Ag3'
_symmetry_space_group_name_H-M 'P 1'
_symmetry_Int_Tables_number 1
_symmetry_space_group_name_Hall 'P 1'
_cell_length_a 4.6384
_cell_length_b 4.6384
_cell_length_c 12.8428
_cell_angle_alpha 90.00
_cell_angle_beta 90.00
_cell_angle_gamma 90.00
loop_
_atom_site_label
_atom_site_type_symbol
_atom_site_fract_x
_atom_site_fract_y
_atom_site_fract_z
Ac1 Ac 0.0000 0.5000 0.2334
Ac2 Ac 0.5000 0.0000 0.7666
Y1 Y 0.0000 0.0000 0.5000
In1 In 0.0000 0.0000 0.0000
In2 In 0.0000 0.5000 0.6553
In3 In 0.5000 0.0000 0.3447
In4 In 0.5000 0.5000 0.0000
Ag1 Ag 0.0000 0.5000 0.8689
Ag2 Ag 0.5000 0.0000 0.1311
Ag3 Ag 0.5000 0.5000 0.5000
```

Computed properties:
Magnetization in Bohr magnetons per cell: 0.00
Space group: P-4m2 (115)
DFT formation energy in eV per atom: -0.333
V in A^3/atom: 27.63
Uncorrected energy in eV/atom: -3.75